Computed, not measured: a relaxed structure of CsKMgBr4 at the PBE level of DFT.

Unit cell a=7.800 b=7.755 c=9.888 alpha=90.00 beta=108.16 gamma=90.00
Space group P2_1/m (No. 11)
One atom of each set of equivalent atoms:
Cs 0.227 0.250 0.434 x2
K 0.279 0.250 0.947 x2
Mg 0.272 0.750 0.185 x2
Br 0.077 0.750 0.931 x2
Br 0.086 0.750 0.352 x2
Br 0.490 0.501 0.235 x4

Calculated values
Calculated volume ... 40.596 Å³ per atom
Formation energy from raw total energies ... -1.665 eV/atom

Computed, not measured: a relaxed structure of LiMg2C2 at the PBE level of DFT.

Unit cell a=6.681 b=6.681 c=2.590 alpha=90.00 beta=90.00 gamma=90.00
Space group P4/mbm (No. 127)
One atom of each set of equivalent atoms:
Li 0.000 0.000 0.000 x2
Mg 0.137 0.363 0.000 x4
C 0.166 0.666 0.500 x4

Calculated values
Calculated volume ... 11.561 Å³ per atom
Energy relative to the lowest polymorph listed for this composition ... 0.000 eV per atom
ΔE_f ... 4.51 eV/f.u.

Computed, not measured: a relaxed structure of UPPd at the PBE level of DFT.

Unit cell a=3.757 b=12.667 c=4.238 alpha=90.00 beta=90.00 gamma=90.00
Space group Cmcm (No. 63)
One atom of each set of equivalent atoms:
U 0.000 0.055 0.250 x4
P 0.000 0.382 0.250 x4
Pd 0.000 0.256 0.750 x4

Calculated values
Calculated volume ... 16.809 Å³ per atom
ΔE_f ... -1.92 eV/f.u.

Computed, not measured: a relaxed structure of La2NiB2Rh5 at the PBE level of DFT.

Unit cell a=9.712 b=9.712 c=3.240 alpha=90.00 beta=90.00 gamma=90.00
Space group P4/mbm (No. 127)
One atom of each set of equivalent atoms:
La 0.178 0.322 0.000 x4
Ni 0.000 0.000 0.000 x2
B 0.122 0.622 0.000 x4
Rh 0.000 0.500 0.500 x2
Rh 0.069 0.775 0.500 x8

Calculated values
Calculated volume ... 15.284 Å³ per atom
ΔE_f ... -4.69 eV/f.u.

Q: Which N(E_F) values were calculated for the entries above? A: 0.00; 1.63; 3.53; 8.13, in states/eV/f.u..